Record 1
Fe2AsPt2 | GGA-PBE | relaxed

Cell: 6.078 6.078 3.984 Å, 90.00 90.00 90.00°
Site moments in Bohr magnetons follow the coordinates.
Positions (direct):
Pt: 0.344 0.156 0.500  0.21
Pt: 0.656 0.844 0.500  0.21
Pt: 0.156 0.656 0.500  0.20
Pt: 0.844 0.344 0.500  0.20
Fe: 0.864 0.636 0.000  2.33
Fe: 0.364 0.864 0.000  2.29
Fe: 0.136 0.364 0.000  2.33
Fe: 0.636 0.136 0.000  2.28
As: 0.000 0.000 0.000  -0.12
As: 0.500 0.500 0.000  -0.12

Values from the calculation:
* ΔE_f: 0.03 eV/atom
* offset from the most stable computed form: 0 meV per atom
* magnetic moment: 9.75 μB/cell

---

Record 2
Ba2TcAs | GGA-PBE | relaxed

Cell: 4.242 4.249 8.126 Å, 58.51 90.00 90.00°
Site moments in Bohr magnetons follow the coordinates.
Positions (direct):
Ba: 0.000 0.489 0.511  -0.02
Ba: 0.000 0.011 0.989  -0.02
As: 0.500 0.750 0.750  0.06
Tc: 0.500 0.250 0.250  2.59

Values from the calculation:
* ΔE_f: 0.32 eV/atom
* magnetic moment: 3.04 μB/cell

---

Record 3
Gd5Pa3H12 | GGA-PBE | relaxed

Cell: 11.294 11.294 11.294 Å, 109.47 109.47 109.47°
Site moments in Bohr magnetons follow the coordinates.
Positions (direct):
H: 0.269 0.845 0.924  -0.01
H: 0.076 0.921 0.345  -0.01
H: 0.924 0.579 0.155  -0.01
H: 0.731 0.576 0.155  -0.01
H: 0.421 0.076 0.345  -0.01
H: 0.769 0.424 0.345  -0.01
H: 0.155 0.079 0.924  -0.01
H: 0.155 0.076 0.731  -0.01
H: 0.845 0.921 0.076  -0.01
H: 0.421 0.345 0.576  -0.01
H: 0.921 0.845 0.576  -0.01
H: 0.076 0.655 0.731  -0.01
H: 0.921 0.076 0.845  -0.01
H: 0.079 0.155 0.424  -0.01
H: 0.655 0.424 0.579  -0.01
H: 0.655 0.231 0.576  -0.01
H: 0.345 0.924 0.769  -0.01
H: 0.155 0.731 0.576  -0.01
H: 0.845 0.269 0.424  -0.01
H: 0.579 0.924 0.655  -0.01
H: 0.769 0.345 0.924  -0.01
H: 0.655 0.579 0.924  -0.01
H: 0.345 0.769 0.424  -0.01
H: 0.576 0.231 0.155  -0.01
H: 0.424 0.155 0.579  -0.01
H: 0.231 0.655 0.076  -0.01
H: 0.845 0.924 0.269  -0.01
H: 0.576 0.845 0.421  -0.01
H: 0.924 0.345 0.269  -0.01
H: 0.345 0.576 0.421  -0.01
H: 0.579 0.655 0.424  -0.01
H: 0.924 0.845 0.769  -0.01
H: 0.269 0.424 0.845  -0.01
H: 0.655 0.076 0.231  -0.01
H: 0.155 0.424 0.079  -0.01
H: 0.731 0.155 0.076  -0.01
H: 0.231 0.576 0.655  -0.01
H: 0.345 0.421 0.076  -0.01
H: 0.924 0.079 0.655  -0.01
H: 0.424 0.655 0.079  -0.01
H: 0.079 0.924 0.155  -0.01
H: 0.076 0.421 0.845  -0.01
H: 0.845 0.576 0.921  -0.01
H: 0.076 0.155 0.231  -0.01
H: 0.424 0.769 0.845  -0.01
H: 0.576 0.731 0.655  -0.01
H: 0.576 0.345 0.921  -0.01
H: 0.424 0.269 0.345  -0.01
Gd: 0.000 0.500 0.000  7.07
Gd: 0.500 0.500 0.500  7.07
Gd: 0.500 0.000 0.000  7.07
Gd: 0.500 0.500 0.000  7.07
Gd: 0.250 0.375 0.625  7.13
Gd: 0.500 0.000 0.500  7.07
Gd: 0.875 0.625 0.750  7.13
Gd: 0.625 0.875 0.250  7.13
Gd: 0.125 0.375 0.250  7.13
Gd: 0.875 0.250 0.625  7.13
Gd: 0.000 0.500 0.500  7.07
Gd: 0.000 0.000 0.000  7.07
Gd: 0.125 0.750 0.375  7.13
Gd: 0.375 0.250 0.125  7.13
Gd: 0.750 0.625 0.375  7.13
Gd: 0.250 0.875 0.125  7.13
Gd: 0.750 0.125 0.875  7.13
Gd: 0.375 0.125 0.750  7.13
Gd: 0.000 0.000 0.500  7.07
Gd: 0.625 0.750 0.875  7.13
Pa: 0.250 0.625 0.875  -0.05
Pa: 0.750 0.875 0.625  -0.05
Pa: 0.750 0.375 0.125  -0.05
Pa: 0.375 0.750 0.625  -0.05
Pa: 0.875 0.750 0.125  -0.05
Pa: 0.875 0.125 0.250  -0.05
Pa: 0.625 0.375 0.750  -0.05
Pa: 0.125 0.875 0.750  -0.05
Pa: 0.125 0.250 0.875  -0.05
Pa: 0.625 0.250 0.375  -0.05
Pa: 0.250 0.125 0.375  -0.05
Pa: 0.375 0.625 0.250  -0.05

Values from the calculation:
* VASP energy: -583.8 eV per cell
* magnetic moment: 146.07 μB/cell

---

Record 4
NbHg2F5 | GGA-PBE | relaxed

Cell: 5.631 5.356 8.246 Å, 81.02 70.10 62.67°
Site moments in Bohr magnetons follow the coordinates.
Positions (direct):
F: 0.354 0.997 0.999  0.00
F: 0.016 0.650 0.000  0.01
F: 0.890 0.004 0.251  0.01
F: 0.680 0.331 0.000  0.00
F: 0.139 0.004 0.749  0.01
Hg: 0.315 0.504 0.499  0.00
Hg: 0.815 0.504 0.500  0.00
Nb: 0.014 0.006 0.000  0.31

Values from the calculation:
* energy relative to the elements, uncorrected: -2.190 eV per atom
* magnetic moment: 0.36 μB/cell

---

Record 5
Tm2TiFe | GGA-PBE | relaxed

Cell: 3.223 3.223 10.037 Å, 80.76 80.76 60.00°
Site moments in Bohr magnetons follow the coordinates.
Positions (direct):
Tm: 0.900 0.900 0.301  -0.13
Tm: 0.100 0.100 0.699  -0.13
Ti: 0.000 0.000 0.000  1.10
Fe: 0.500 0.500 0.500  1.30

Values from the calculation:
* ΔE_f: 0.52 eV/atom
* magnetic moment: 2.45 μB/cell

---

Record 6
LiTe2Cl | GGA-PBE | relaxed

Cell: 7.641 7.641 7.641 Å, 149.61 139.01 51.87°
Positions (direct):
Te: 0.847 0.847 0.000
Te: 0.702 0.202 0.500
Cl: 0.518 0.518 0.000
Li: 0.432 0.932 0.500

Values from the calculation:
* energy relative to the elements, uncorrected: -0.657 eV per atom
* offset from the most stable computed form: 61 meV per atom
* magnetic moment: 0.00 μB/cell

---

Record 7
TlAgSe2 | GGA-PBE | relaxed

Cell: 5.557 5.557 5.557 Å, 136.58 106.78 89.14°
Positions (direct):
Se: 0.444 0.444 0.000
Se: 0.056 0.056 0.000
Ag: 0.250 0.750 0.500
Tl: 0.750 0.250 0.500

Values from the calculation:
* energy relative to the elements, uncorrected: -0.039 eV per atom
* magnetic moment: 0.00 μB/cell

---

Record 8
KZnW | GGA-PBE | relaxed

Cell: 4.957 4.957 4.957 Å, 60.00 60.00 60.00°
Site moments in Bohr magnetons follow the coordinates.
Positions (direct):
K: 0.000 0.000 0.000  0.04
Zn: 0.250 0.250 0.250  0.04
W: 0.500 0.500 0.500  2.97

Values from the calculation:
* ΔE_f: 1.93 eV/atom
* offset from the most stable computed form: 995 meV per atom
* magnetic moment: 4.36 μB/cell

---

Record 9
Ca2PH | GGA-PBE | relaxed

Cell: 4.142 4.142 6.390 Å, 71.09 71.09 60.00°
Positions (direct):
H: 0.500 0.500 0.500
Ca: 0.252 0.252 0.245
Ca: 0.748 0.748 0.755
P: 0.000 0.000 0.000

Values from the calculation:
* offset from the most stable computed form: 92 meV per atom
* magnetic moment: 0.00 μB/cell

---

Record 10
LaPaHgPb | GGA-PBE | relaxed

Cell: 5.475 5.475 5.475 Å, 60.00 60.00 60.00°
Site moments in Bohr magnetons follow the coordinates.
Positions (direct):
Hg: 0.250 0.250 0.250  0.01
La: 0.500 0.500 0.500  0.10
Pa: 0.000 0.000 0.000  1.18
Pb: 0.750 0.750 0.750  -0.01

Values from the calculation:
* ΔE_f: -0.07 eV/atom
* magnetic moment: 1.61 μB/cell

---

Record 11
Hf3Ga3Cu2 | GGA-PBE | relaxed

Cell: 4.029 5.393 13.433 Å, 90.00 90.00 111.93°
Positions (direct):
Cu: 0.785 0.569 0.599
Cu: 0.215 0.431 0.099
Cu: 0.215 0.431 0.401
Cu: 0.785 0.569 0.901
Ga: 0.644 0.288 0.750
Ga: 0.614 0.229 0.460
Ga: 0.386 0.771 0.540
Ga: 0.356 0.712 0.250
Ga: 0.386 0.771 0.960
Ga: 0.614 0.229 0.040
Hf: 0.644 0.288 0.250
Hf: 0.356 0.712 0.750
Hf: 0.926 0.852 0.380
Hf: 0.926 0.852 0.120
Hf: 0.074 0.148 0.620
Hf: 0.074 0.148 0.880

Values from the calculation:
* ΔE_f: -0.41 eV/atom
* magnetic moment: 0.00 μB/cell

---

Record 12
ScTa2Cu | GGA-PBE | relaxed

Cell: 5.220 5.220 2.872 Å, 90.00 90.00 114.30°
Positions (direct):
Ta: 0.000 0.000 0.000
Ta: 0.500 0.500 0.000
Sc: 0.000 0.500 0.500
Cu: 0.500 0.000 0.500

Values from the calculation:
* ΔE_f: 0.30 eV/atom
* offset from the most stable computed form: 238 meV per atom
* magnetic moment: 0.00 μB/cell